Ce2HoC2 | PBE | relaxed

Results
distance to the lowest polymorph of the same formula = 0.000 eV per atom
formation energy from the elements = -0.7 eV per formula unit
raw total energy = -71.18 eV/cell
DOS at the Fermi energy = 1.2543 states/eV per atom

abc: 6.281 6.281 7.202
angles: 107.76 107.76 49.13
Fractional positions:
Ce1 0.002 0.002 0.242
Ce2 0.334 0.334 0.917
Ce3 0.666 0.666 0.083
Ce4 0.998 0.998 0.758
Ho1 0.341 0.341 0.409
Ho2 0.659 0.659 0.591
C1 0.159 0.159 0.083
C2 0.496 0.496 0.248
C3 0.504 0.504 0.752
C4 0.841 0.841 0.917